Entry 1:
DFT (PBE-GGA) results for an optimized crystal structure of BeTlSb2.

a = 3.177 Å, b = 3.177 Å, c = 9.707 Å
α = 90.00°, β = 90.00°, γ = 90.00°
Space group P4mm (No. 99)
One atom of each set of equivalent atoms:
Be 0.000 0.000 0.000 (multiplicity 1)
Tl 0.500 0.500 0.782 (multiplicity 1)
Sb 0.000 0.000 0.486 (multiplicity 1)
Sb 0.500 0.500 0.165 (multiplicity 1)

Summary:
* formation energy without anion corrections: 0.47 eV/atom
* crystal system: tetragonal

=====

Entry 2:
DFT (PBE-GGA) results for an optimized crystal structure of BeTl2Sb.

a = 5.405 Å, b = 9.855 Å, c = 4.082 Å
α = 90.00°, β = 90.70°, γ = 90.00°
Space group C2 (No. 5)
One atom of each set of equivalent atoms:
Be 0.000 0.000 0.000 (multiplicity 2)
Tl 0.000 0.441 0.000 (multiplicity 2)
Tl 0.000 0.797 0.500 (multiplicity 2)
Sb 0.000 0.135 0.500 (multiplicity 2)

Summary:
* formation energy without anion corrections: 0.22 eV/atom
* crystal system: monoclinic

=====

Entry 3:
DFT (PBE-GGA) results for an optimized crystal structure of BeTl2Sb.

a = 4.420 Å, b = 4.420 Å, c = 5.250 Å
α = 90.00°, β = 90.00°, γ = 90.00°
Space group P4/mmm (No. 123)
One atom of each set of equivalent atoms:
Be 0.000 0.000 0.000 (multiplicity 1)
Tl 0.000 0.500 0.500 (multiplicity 2)
Sb 0.500 0.500 0.000 (multiplicity 1)

Summary:
* formation energy without anion corrections: 0.53 eV/atom
* crystal system: tetragonal